1.
Entry from the Alexandria database: an optimized crystal structure of CsTlTeI2 (GGA-PBE).

Cell lengths 6.4317, 6.4317, 5.8307 Å; angles 90.00, 90.00, 90.00 degrees
Closest atoms and distances in Å follow each position.
Atoms (fractional coordinates):
Cs (0.5000, 0.5000, 0.5000)  8 I 4.34, 4 Te 4.55
I (0.0000, 0.5000, 0.0000)  2 Tl 3.22
I (0.5000, 0.0000, 0.0000)  2 Tl 3.22
Tl (0.0000, 0.0000, 0.0000)  2 Te 2.92, 4 I 3.22
Te (0.0000, 0.0000, 0.5000)  2 Tl 2.92

* raw formation energy: -572 meV/atom

=====

2.
Entry from the Alexandria database: an optimized crystal structure of CsVTe2I (GGA-PBE).

Cell lengths 5.3371, 5.3371, 6.2287 Å; angles 90.00, 90.00, 90.00 degrees
Closest atoms and distances in Å follow each position.
Atoms (fractional coordinates):
Cs (0.5000, 0.5000, 0.5000)  4 I 3.77, 8 Te 4.10
I (0.0000, 0.0000, 0.5000)  2 V 3.11
Te (0.0000, 0.5000, 0.0000)  2 V 2.67
Te (0.5000, 0.0000, 0.0000)  2 V 2.67
V (0.0000, 0.0000, 0.0000)  4 Te 2.67

* raw formation energy: -486 meV/atom

=====

3.
Entry from the Alexandria database: an optimized crystal structure of CsVTeI2 (GGA-PBE).

Cell lengths 5.9561, 5.9561, 5.2651 Å; angles 90.00, 90.00, 90.00 degrees
Closest atoms and distances in Å follow each position.
Atoms (fractional coordinates):
Cs (0.5000, 0.5000, 0.5000)  8 I 3.97, 4 Te 4.21
I (0.0000, 0.5000, 0.0000)  2 V 2.98
I (0.5000, 0.0000, 0.0000)  2 V 2.98
Te (0.0000, 0.0000, 0.5000)  2 V 2.63
V (0.0000, 0.0000, 0.0000)  2 Te 2.63

* raw formation energy: -627 meV/atom

=====

no.,calculated density (Mg/m³),magnetic moment (μB per cell)
1,4.9,0.72
2,5.3,1.50
3,5.0,2.00